(1)
VASP calculation (GGA-PBE) on a relaxed TbScU crystal.

The structure belongs to space group F-43m (No. 216); the cell edges are 7.1927, 7.1927 and 7.1927 Å and the angles 90.00°, 90.00° and 90.00°. Symmetry generates all atoms from Tb at (0.0000, 0.0000, 0.0000), Sc at (0.2500, 0.2500, 0.2500) and U at (0.0000, 0.0000, 0.5000).

Its total moment is 14.8 Bohr magnetons per cell. The total energy comes out at -6.23 eV per atom. The energy of formation from the pure elements is 1.1921 eV/atom. The polymorph energy (0 for the lowest one) comes out at 0.000 eV per atom.


(2)
VASP calculation (GGA-PBE) on a relaxed CoBiB4 crystal.

The structure belongs to space group P6/mmm (No. 191); the cell edges are 3.0624, 3.0624 and 8.0680 Å and the angles 90.00°, 90.00° and 120.00°. Symmetry generates all atoms from Co at (0.0000, 0.0000, 0.0000), Bi at (0.0000, 0.0000, 0.5000) and B at (0.3333, 0.6667, 0.1712).

Its total moment is 0.0 Bohr magnetons per cell. The total energy comes out at -5.88 eV per atom. The polymorph energy (0 for the lowest one) comes out at 0.000 eV per atom.


(3)
VASP calculation (GGA-PBE) on a relaxed Gd2TmZn3Ir2Pt crystal.

The structure belongs to space group Amm2 (No. 38); the cell edges are 3.8977, 12.4090 and 7.2148 Å and the angles 90.00°, 90.00° and 90.00°. Symmetry generates all atoms from Gd at (0.0000, 0.2046, 0.0000), Tm at (0.0000, 0.0000, 0.3906), Zn at (0.5000, 0.0000, 0.0487), Zn at (0.5000, 0.1266, 0.6682), Ir at (0.5000, 0.1627, 0.2967) and Pt at (0.0000, 0.0000, 0.7913).

Its total moment is 0.0 Bohr magnetons per cell. The total energy comes out at -5.38 eV per atom. The energy of formation from the pure elements is -0.7874 eV/atom.